## TmSi2PdRu (PBE)

Data for a relaxed structure of TmSi2PdRu.

abc: 4.062 4.062 5.769
angles: 110.62 110.62 90.00
Fractional positions:
Tm 0.000 0.000 0.000
Si 0.619 0.619 0.239
Si 0.381 0.381 0.761
Pd 0.750 0.250 0.500
Ru 0.250 0.750 0.500

Output
As for the theoretical density: 8.70 g/cm³. As for the uncorrected formation energy: -0.8968 eV/atom. Its space-group type is I-4m2 (119).

## NaYSbI2 (PBE)

Data for a relaxed structure of NaYSbI2.

abc: 6.050 6.050 6.015
angles: 90.00 90.00 90.00
Fractional positions:
I 0.000 0.500 0.000
I 0.500 0.000 0.000
Sb 0.000 0.000 0.500
Y 0.000 0.000 0.000
Na 0.500 0.500 0.500

Output
As for the theoretical density: 3.68 g/cm³. The distance to the lowest polymorph of the same formula comes out at 0.000 eV per atom. As for the uncorrected formation energy: -0.6561 eV/atom. Its space-group type is P4/mmm (123).

## Er4Zn2N (PBE)

Data for a relaxed structure of Er4Zn2N.

abc: 4.577 4.577 8.463
angles: 74.31 74.31 90.00
Fractional positions:
Zn 0.866 0.866 0.268
Zn 0.134 0.134 0.732
N 0.000 0.000 0.000
Er 0.313 0.313 0.374
Er 0.687 0.687 0.626
Er 0.000 0.500 0.000
Er 0.500 0.000 0.000

Output
As for the theoretical density: 8.25 g/cm³. As for the uncorrected formation energy: -0.3775 eV/atom. Its space-group type is I4/mmm (139).

## Ho2HfZn6 (PBE)

Data for a relaxed structure of Ho2HfZn6.

abc: 3.325 7.664 7.664
angles: 120.00 90.00 90.00
Fractional positions:
Ho 0.000 0.333 0.667
Ho 0.000 0.667 0.333
Hf 0.000 0.000 0.000
Zn 0.500 0.327 0.327
Zn 0.500 0.673 0.673
Zn 0.500 0.000 0.673
Zn 0.500 0.673 0.000
Zn 0.500 0.327 0.000
Zn 0.500 0.000 0.327

Output
As for the theoretical density: 8.84 g/cm³. Its space-group type is P6/mmm (191). The formation energy from the elements is -267 kJ/mol of formula units.

## InCuSbI2 (PBE)

Data for a relaxed structure of InCuSbI2.

abc: 5.949 5.949 5.822
angles: 90.00 90.00 90.00
Fractional positions:
I 0.000 0.500 0.000
I 0.500 0.000 0.000
Sb 0.000 0.000 0.500
Cu 0.500 0.500 0.500
In 0.000 0.000 0.000

Output
As for the theoretical density: 4.46 g/cm³. The distance to the lowest polymorph of the same formula comes out at 0.518 eV per atom. As for the uncorrected formation energy: 0.6721 eV/atom. Its space-group type is P4/mmm (123).

## La6Ge2NCl3 (PBE)

Data for a relaxed structure of La6Ge2NCl3.

abc: 7.223 7.223 7.473
angles: 99.23 99.23 119.85
Fractional positions:
La 0.929 0.629 0.785
La 0.773 0.773 0.223
La 0.071 0.371 0.215
La 0.629 0.929 0.785
La 0.227 0.227 0.777
La 0.371 0.071 0.215
Ge 0.335 0.665 0.000
Ge 0.665 0.335 0.000
N 0.000 0.000 0.000
Cl 0.182 0.818 0.500
Cl 0.818 0.182 0.500
Cl 0.500 0.500 0.500

Output
As for the theoretical density: 5.70 g/cm³. As for the uncorrected formation energy: -1.3817 eV/atom. Its space-group type is C2/m (12).

Calculated N(E_F) (states/eV/f.u.), listed in the same order as above: 2.64 3.95 5.92 4.80 3.49 7.62
Calculated total DFT energy (no corrections) (eV per atom), listed in the same order as above: -6.85 -3.66 -4.54 -3.28 -2.14 -5.77
Calculated volume (Å³/atom), listed in the same order as above: 16.5 44.0 23.4 18.8 41.2 26.7